Entry 1:
A geometry-optimized RhAu2 structure. Source: the Alexandria database, functional PBE.

Values from the calculation:
* SG: Cm
* calculated formation energy: 167 meV per atom
* crystal system: monoclinic
* energy relative to the lowest polymorph listed for this composition: 24 meV per atom

a = 5.560 Å, b = 5.560 Å, c = 6.878 Å
α = 73.69°, β = 73.69°, γ = 29.77°
Last column: magnetic moment on the atom in μB.
Fractional positions:
Rh1 0.938 0.938 0.621  0.36
Rh2 0.285 0.285 0.927  0.34
Au1 0.997 0.997 0.001  0.02
Au2 0.615 0.615 0.274  0.01
Au3 0.336 0.336 0.339  0.01
Au4 0.662 0.662 0.671  0.03

=====

Entry 2:
A geometry-optimized Rh2Au structure. Source: the Alexandria database, functional PBE.

Values from the calculation:
* SG: C2/m
* calculated formation energy: 184 meV per atom
* crystal system: monoclinic
* energy relative to the lowest polymorph listed for this composition: 60 meV per atom

a = 5.499 Å, b = 5.499 Å, c = 6.537 Å
α = 75.04°, β = 75.04°, γ = 29.41°
Last column: magnetic moment on the atom in μB.
Fractional positions:
Rh1 0.348 0.348 0.534  0.38
Rh2 0.703 0.703 0.862  0.41
Rh3 0.297 0.297 0.138  0.41
Rh4 0.652 0.652 0.466  0.38
Au1 0.977 0.977 0.796  0.04
Au2 0.023 0.023 0.204  0.04